1.
Be2AgBr SCAN PBEsol geometry; total energy = -14.6504 eV per atom; relative energy among the computed polymorphs = 0.0113 eV/atom; energy relative to the elements, uncorrected = 22.5 kJ/mol of atoms
1.0
3.110 0.000 0.000
1.555 4.048 -0.003
1.555 0.344 5.415
Be Br Ag
2 1 1
Direct
0.851 0.438 0.859 Be
0.149 0.562 0.141 Be
0.500 0.500 0.500 Br
0.500 0.000 0.000 Ag


2.
FeP3Rh SCAN PBEsol geometry; total energy = -15.9231 eV per atom; ΔE_f = 336 kJ/mol of formula units
1.0
4.207 0.000 0.000
0.000 4.207 0.000
0.000 0.000 4.207
P Rh Fe
3 1 1
Direct
0.000 0.500 0.000 P
0.000 0.000 0.500 P
0.500 0.000 0.000 P
0.500 0.500 0.500 Rh
0.000 0.000 0.000 Fe


3.
RhWCl SCAN PBEsol geometry; total energy = -35.9144 eV per atom; relative energy among the computed polymorphs = 1.0410 eV/atom; energy relative to the elements, uncorrected = 118.8 kJ/mol of atoms
1.0
-2.522 1.411 3.077
-3.211 -2.381 1.356
0.153 -1.766 3.831
Rh W Cl
1 1 1
Direct
0.250 0.250 0.250 Rh
0.000 0.000 0.000 W
0.500 0.500 0.500 Cl


4.
AgTe2Cl SCAN PBEsol geometry; total energy = -28.4918 eV per atom; energy relative to the elements, uncorrected = -2.9 kJ/mol of atoms
1.0
-0.116 3.311 1.934
-4.783 0.293 3.017
1.458 -0.882 5.401
Te Ag Cl
2 1 1
Direct
0.991 0.009 0.009 Te
0.232 0.268 0.268 Te
0.486 0.514 0.514 Ag
0.791 0.709 0.709 Cl


5.
CaLaCu4 SCAN PBEsol geometry; total energy = -19.0081 eV per atom; ΔE_f = -47 kJ/mol of formula units
1.0
-4.603 2.483 -0.640
-3.739 -2.126 -3.044
-4.377 -1.960 2.184
Ca Cu La
1 4 1
Direct
0.000 0.000 0.000 Ca
0.882 0.373 0.373 Cu
0.373 0.373 0.373 Cu
0.373 0.373 0.882 Cu
0.373 0.882 0.373 Cu
0.750 0.750 0.750 La


6.
Li2TlCdPb SCAN PBEsol geometry; total energy = -36.4680 eV per atom; ΔE_f = 96 kJ/mol of formula units
1.0
-4.313 -2.699 -0.780
1.659 -1.293 -4.698
2.495 -4.608 2.149
Pb Tl Li Cd
1 1 2 1
Direct
0.000 0.000 0.500 Pb
0.000 0.000 0.000 Tl
0.000 0.500 0.000 Li
0.500 0.000 0.000 Li
0.500 0.500 0.500 Cd


7.
Sc5Co24 SCAN PBEsol geometry; total energy = -16.8394 eV per atom; ΔE_f = -179 kJ/mol of formula units
1.0
-3.814 -5.251 3.992
7.310 -2.068 -0.585
-0.461 6.723 3.555
Co Sc
24 5
Direct
0.623 0.817 0.623 Co
0.806 0.183 0.806 Co
0.194 0.000 0.377 Co
0.377 0.000 0.194 Co
0.817 0.623 0.623 Co
0.183 0.806 0.806 Co
0.000 0.377 0.194 Co
0.000 0.194 0.377 Co
0.623 0.623 0.817 Co
0.806 0.806 0.183 Co
0.377 0.194 0.000 Co
0.194 0.377 0.000 Co
0.608 0.281 0.608 Co
0.327 0.719 0.327 Co
0.673 0.000 0.392 Co
0.392 0.000 0.673 Co
0.281 0.608 0.608 Co
0.719 0.327 0.327 Co
0.000 0.392 0.673 Co
0.000 0.673 0.392 Co
0.608 0.608 0.281 Co
0.327 0.327 0.719 Co
0.392 0.673 0.000 Co
0.673 0.392 0.000 Co
0.379 0.379 0.379 Sc
0.000 0.621 0.000 Sc
0.000 0.000 0.621 Sc
0.621 0.000 0.000 Sc
0.000 0.000 0.000 Sc


8.
Zr2TaTc SCAN PBEsol geometry; total energy = -40.6555 eV per atom; ΔE_f = 40 kJ/mol of formula units; relative energy among the computed polymorphs = 0.3378 eV/atom
1.0
-2.125 1.899 1.248
-0.628 -0.155 3.043
5.442 6.630 3.052
Ta Tc Zr
1 1 2
Direct
0.500 0.500 0.500 Ta
0.000 0.000 0.000 Tc
0.257 0.257 0.228 Zr
0.743 0.743 0.772 Zr